Mg2SnN: relaxed, GGA-PBE.

a = 6.1838 Å, b = 6.1838 Å, c = 6.1838 Å
α = 119.53°, β = 119.53°, γ = 90.81°
Closest atoms and distances in Å follow each position.
Fractional positions:
Mg: 0.3750 0.2146 0.3396  2 N 1.98
Mg: 0.7854 0.1250 0.1604  2 N 1.98
Mg: 0.8750 0.0354 0.6604  2 N 1.98
Mg: 0.9646 0.6250 0.8396  2 N 1.98
Sn: 0.2500 0.7500 0.5000  4 Mg 3.18
Sn: 0.5000 0.5000 0.0000  4 Mg 3.18
N: 0.0000 0.0000 0.0000  4 Mg 1.98
N: 0.7500 0.2500 0.5000  4 Mg 1.98

Summary:
- ΔE_f (raw): -0.236 eV per atom

=====

LiY4Pa3N8: relaxed, GGA-PBE.

a = 6.9400 Å, b = 6.9400 Å, c = 6.9400 Å
α = 59.88°, β = 59.88°, γ = 59.88°
Closest atoms and distances in Å follow each position.
Fractional positions:
Li: 0.0000 0.0000 0.0000  6 N 2.50
Y: 0.0000 0.0000 0.5000  6 N 2.48-2.53
Y: 0.0000 0.5000 0.0000  6 N 2.48-2.53
Y: 0.5000 0.0000 0.0000  6 N 2.48-2.53
Y: 0.5000 0.5000 0.5000  6 N 2.41
Pa: 0.0000 0.5000 0.5000  6 N 2.37-2.43
Pa: 0.5000 0.0000 0.5000  6 N 2.37-2.43
Pa: 0.5000 0.5000 0.0000  6 N 2.37-2.43
N: 0.2526 0.2526 0.2526  3 Pa 2.43, 3 Y 2.48
N: 0.2548 0.2548 0.7287  2 Pa 2.37, 3 Y 2.41-2.53, 1 Li 2.50
N: 0.2548 0.7287 0.2548  2 Pa 2.37, 3 Y 2.41-2.53, 1 Li 2.50
N: 0.2713 0.7452 0.7452  2 Pa 2.37, 3 Y 2.41-2.53, 1 Li 2.50
N: 0.7287 0.2548 0.2548  2 Pa 2.37, 3 Y 2.41-2.53, 1 Li 2.50
N: 0.7452 0.2713 0.7452  2 Pa 2.37, 3 Y 2.41-2.53, 1 Li 2.50
N: 0.7452 0.7452 0.2713  2 Pa 2.37, 3 Y 2.41-2.53, 1 Li 2.50
N: 0.7474 0.7474 0.7474  3 Pa 2.43, 3 Y 2.48

Summary:
- ΔE_f (raw): -1.541 eV per atom